{"formula": "Pm2MnMoO8", "functional": "GGA+U", "state": "optimized geometry", "cell": [[-0.290, 0.041, -5.187], [-2.964, -3.444, 0.595], [-5.321, 4.550, -0.221]], "species": ["Pm", "Pm", "Mn", "Mo", "O", "O", "O", "O", "O", "O", "O", "O"], "fractional_positions": [[0.499, 0.388, 0.756], [0.501, 0.612, 0.244], [0.000, 0.000, 0.500], [0.000, 0.000, 0.000], [0.110, 0.840, 0.250], [0.772, 0.656, 0.963], [0.719, 0.138, 0.158], [0.890, 0.160, 0.750], [0.228, 0.344, 0.037], [0.281, 0.862, 0.842], [0.710, 0.721, 0.521], [0.290, 0.279, 0.479]], "e_tot_ev_per_atom": -7.4842, "m_tot_mub_per_cell": 2.95, "n_ef_per_ev_fu": 6.85}